{"formula": "SrLi6Hg12", "functional": "PBE", "state": "relaxed", "space_group": "No. 166", "magnetic_moment_mub_per_fu": 0.0, "formation_energy_mev_per_atom": -248, "lattice_angstrom": [[6.4290, 3.7118, 3.0729], [-6.4290, 3.7118, 3.0729], [0.0000, -7.4236, 3.0729]], "species": ["Sr", "Li", "Li", "Li", "Li", "Li", "Li", "Hg", "Hg", "Hg", "Hg", "Hg", "Hg", "Hg", "Hg", "Hg", "Hg", "Hg", "Hg"], "fractional_positions": [[0.0000, 0.0000, 0.0000], [0.2784, 0.2784, 0.7019], [0.2784, 0.7019, 0.2784], [0.2981, 0.7216, 0.7216], [0.7019, 0.2784, 0.2784], [0.7216, 0.2981, 0.7216], [0.7216, 0.7216, 0.2981], [0.1174, 0.5000, 0.8826], [0.1174, 0.8826, 0.5000], [0.1468, 0.3962, 0.3962], [0.3962, 0.1468, 0.3962], [0.3962, 0.3962, 0.1468], [0.5000, 0.1174, 0.8826], [0.5000, 0.8826, 0.1174], [0.6038, 0.6038, 0.8532], [0.6038, 0.8532, 0.6038], [0.8532, 0.6038, 0.6038], [0.8826, 0.1174, 0.5000], [0.8826, 0.5000, 0.1174]]}